# 1
Below is crystalline P2PbBr at its relaxed geometry, with properties calculated at the PBE level.

Results
SG: R-3m
Energy relative to the elements, uncorrected in eV per atom: 0.551
E in eV per atom: -3.500

extended XYZ file:
```
4
Lattice="-3.421 -3.024 -5.361 -1.753 -6.034 -3.178 -5.227 -4.302 -1.938" Properties=species:S:1:pos:R:3 pbc="T T T"
P -10.321 -13.257 -10.397
Pb -2.600 -3.340 -2.619
Br -7.801 -10.020 -7.858
P -5.281 -6.783 -5.320
```


# 2
Below is crystalline TmP2Pt7Pb2 at its relaxed geometry, with properties calculated at the PBE level.

Results
Formation enthalpy at 0 K in eV/f.u.: -7.84
SG: I4/mmm
E in eV per atom: -6.069

extended XYZ file:
```
12
Lattice="3.979 -0.001 0.007 0.004 3.979 0.007 1.974 1.971 15.090" Properties=species:S:1:pos:R:3 pbc="T T T"
Pt 3.971 3.966 9.343
Pt 1.979 3.964 12.928
Pt 1.991 1.989 0.007
Pb 3.974 3.969 6.380
Pt 1.985 1.982 5.761
Pt 1.989 3.975 2.176
P 1.986 1.984 3.480
Pb 1.982 1.979 8.724
Pt 3.977 1.984 2.176
P 3.970 3.965 11.624
Pt 3.967 1.974 12.928
Tm 0.000 0.000 0.000
```


Q: Which of these has the lowest E?
A: TmP2Pt7Pb2


Q: What is the E in the second record?
A: -6.069 eV per atom